(w)
PBE HoLuGa, relaxed; symmetry = I4mm, No. 107; crystal system = tetragonal
1.0
3.419 0.000 0.000
0.000 3.419 0.000
0.000 0.000 12.867
Ho Lu Ga
2 2 2
Direct
0.000 0.000 0.000
0.500 0.500 0.500
0.000 0.000 0.294
0.500 0.500 0.794
0.000 0.000 0.650
0.500 0.500 0.150



(x)
PBE HoLuGa, relaxed; symmetry = F-43m, No. 216; crystal system = cubic
1.0
6.929 0.000 0.000
0.000 6.929 0.000
0.000 0.000 6.929
Ho Lu Ga
4 4 4
Direct
0.000 0.000 0.000
0.000 0.500 0.500
0.500 0.000 0.500
0.500 0.500 0.000
0.000 0.000 0.500
0.000 0.500 0.000
0.500 0.000 0.000
0.500 0.500 0.500
0.250 0.250 0.250
0.250 0.750 0.750
0.750 0.250 0.750
0.750 0.750 0.250



Energetically preferred structure: (w) | next structure: +132 meV/atom